Entry 1:
# Zn2AgIr2, optimized geometry, DFT PBE-GGA
data_Zn2AgIr2
_cell_length_a 7.414
_cell_length_b 7.414
_cell_length_c 2.843
_cell_angle_alpha 90.00
_cell_angle_beta 90.00
_cell_angle_gamma 90.00
_symmetry_space_group_name_H-M 'P 1'
_symmetry_Int_Tables_number 1
_symmetry_space_group_name_Hall 'P 1'
loop_
_atom_site_label
_atom_site_fract_x
_atom_site_fract_y
_atom_site_fract_z
Zn1 0.172 0.328 0.000
Zn2 0.328 0.828 0.000
Zn3 0.672 0.172 0.000
Zn4 0.828 0.672 0.000
Ag1 0.000 0.000 0.500
Ag2 0.500 0.500 0.500
Ir1 0.126 0.626 0.500
Ir2 0.374 0.126 0.500
Ir3 0.626 0.874 0.500
Ir4 0.874 0.374 0.500
# space group	P4/mbm
# size of the total moment	0.00	μB/cell
# ΔE to the lowest computed polymorph	0	meV/atom
# VASP energy	-4.551	eV/atom
# calculated formation energy	0.07	eV per atom
# theoretical density	13.2	g/cm³

***

Entry 2:
# Be3Te, optimized geometry, DFT PBE-GGA
data_Be3Te
_cell_length_a 4.291
_cell_length_b 4.291
_cell_length_c 4.291
_cell_angle_alpha 60.00
_cell_angle_beta 60.00
_cell_angle_gamma 60.00
_symmetry_space_group_name_H-M 'P 1'
_symmetry_Int_Tables_number 1
_symmetry_space_group_name_Hall 'P 1'
loop_
_atom_site_label
_atom_site_fract_x
_atom_site_fract_y
_atom_site_fract_z
Be1 0.000 0.000 0.000
Be2 0.250 0.250 0.250
Be3 0.750 0.750 0.750
Te1 0.500 0.500 0.500
# space group	Fm-3m
# size of the total moment	0.00	μB/cell
# ΔE to the lowest computed polymorph	797	meV/atom
# VASP energy	-2.577	eV/atom
# uncorrected formation energy	1.00	eV/atom
# theoretical density	4.6	g/cm³

***

Entry 3:
# Tb6NbO12, optimized geometry, DFT PBE-GGA
data_Tb6NbO12
_cell_length_a 6.523
_cell_length_b 6.523
_cell_length_c 6.523
_cell_angle_alpha 98.73
_cell_angle_beta 98.73
_cell_angle_gamma 98.73
_symmetry_space_group_name_H-M 'P 1'
_symmetry_Int_Tables_number 1
_symmetry_space_group_name_Hall 'P 1'
loop_
_atom_site_label
_atom_site_fract_x
_atom_site_fract_y
_atom_site_fract_z
Tb1 0.111 0.802 0.640
Tb2 0.198 0.360 0.889
Tb3 0.360 0.889 0.198
Tb4 0.640 0.111 0.802
Tb5 0.802 0.640 0.111
Tb6 0.889 0.198 0.360
Nb1 0.500 0.500 0.500
O1 0.062 0.914 0.322
O2 0.086 0.678 0.938
O3 0.196 0.428 0.543
O4 0.322 0.062 0.914
O5 0.428 0.543 0.196
O6 0.457 0.804 0.572
O7 0.543 0.196 0.428
O8 0.572 0.457 0.804
O9 0.678 0.938 0.086
O10 0.804 0.572 0.457
O11 0.914 0.322 0.062
O12 0.938 0.086 0.678
# space group	R-3
# size of the total moment	1.13	μB/cell
# VASP energy	-8.432	eV/atom
# uncorrected formation energy	-3.31	eV/atom
# theoretical density	7.7	g/cm³

***

Entry 4:
# KMg2SiTe, optimized geometry, DFT PBE-GGA
data_KMg2SiTe
_cell_length_a 5.780
_cell_length_b 5.780
_cell_length_c 5.970
_cell_angle_alpha 90.00
_cell_angle_beta 90.00
_cell_angle_gamma 90.00
_symmetry_space_group_name_H-M 'P 1'
_symmetry_Int_Tables_number 1
_symmetry_space_group_name_Hall 'P 1'
loop_
_atom_site_label
_atom_site_fract_x
_atom_site_fract_y
_atom_site_fract_z
K1 0.000 0.000 0.000
Mg1 0.000 0.500 0.000
Mg2 0.500 0.000 0.000
Si1 0.500 0.500 0.500
Te1 0.000 0.000 0.500
# space group	P4/mmm
# size of the total moment	0.00	μB/cell
# VASP energy	-1.364	eV/atom
# uncorrected formation energy	1.21	eV/atom
# theoretical density	2.0	g/cm³

***

Entry 5:
# NaTbTm, optimized geometry, DFT PBE-GGA
data_NaTbTm
_cell_length_a 3.509
_cell_length_b 3.509
_cell_length_c 9.118
_cell_angle_alpha 90.00
_cell_angle_beta 90.00
_cell_angle_gamma 120.00
_symmetry_space_group_name_H-M 'P 1'
_symmetry_Int_Tables_number 1
_symmetry_space_group_name_Hall 'P 1'
loop_
_atom_site_label
_atom_site_fract_x
_atom_site_fract_y
_atom_site_fract_z
Na1 0.000 0.000 0.000
Tb1 0.333 0.667 0.647
Tm1 0.667 0.333 0.348
# space group	P3m1
# size of the total moment	0.00	μB/cell
# ΔE to the lowest computed polymorph	0	meV/atom
# VASP energy	-3.326	eV/atom
# calculated formation energy	0.15	eV per atom
# theoretical density	6.0	g/cm³

***

Entry 6:
# Ac2HoTl4, optimized geometry, DFT PBE-GGA
data_Ac2HoTl4
_cell_length_a 8.720
_cell_length_b 8.720
_cell_length_c 8.720
_cell_angle_alpha 143.08
_cell_angle_beta 143.08
_cell_angle_gamma 53.20
_symmetry_space_group_name_H-M 'P 1'
_symmetry_Int_Tables_number 1
_symmetry_space_group_name_Hall 'P 1'
loop_
_atom_site_label
_atom_site_fract_x
_atom_site_fract_y
_atom_site_fract_z
Ac1 0.247 0.247 0.000
Ac2 0.753 0.753 0.000
Ho1 0.500 0.500 0.000
Tl1 0.104 0.604 0.500
Tl2 0.396 0.896 0.500
Tl3 0.604 0.104 0.500
Tl4 0.896 0.396 0.500
# space group	I4/mmm
# size of the total moment	0.00	μB/cell
# ΔE to the lowest computed polymorph	58	meV/atom
# VASP energy	-3.395	eV/atom
# calculated formation energy	-0.21	eV per atom
# theoretical density	10.0	g/cm³

***

Entry 7:
# Hf2Te3H, optimized geometry, DFT PBE-GGA
data_Hf2Te3H
_cell_length_a 9.139
_cell_length_b 9.139
_cell_length_c 10.864
_cell_angle_alpha 119.64
_cell_angle_beta 119.64
_cell_angle_gamma 24.39
_symmetry_space_group_name_H-M 'P 1'
_symmetry_Int_Tables_number 1
_symmetry_space_group_name_Hall 'P 1'
loop_
_atom_site_label
_atom_site_fract_x
_atom_site_fract_y
_atom_site_fract_z
Hf1 0.074 0.074 0.467
Hf2 0.378 0.378 0.219
Hf3 0.622 0.622 0.781
Hf4 0.926 0.926 0.533
Te1 0.165 0.165 0.993
Te2 0.289 0.289 0.375
Te3 0.455 0.455 0.753
Te4 0.545 0.545 0.247
Te5 0.711 0.711 0.625
Te6 0.835 0.835 0.007
H1 0.060 0.060 0.640
H2 0.940 0.940 0.360
# space group	C2/m
# size of the total moment	0.00	μB/cell
# VASP energy	-6.035	eV/atom
# theoretical density	7.6	g/cm³

***

Entry 8:
# KSi2Mo, optimized geometry, DFT PBE-GGA
data_KSi2Mo
_cell_length_a 5.175
_cell_length_b 5.175
_cell_length_c 2.689
_cell_angle_alpha 90.00
_cell_angle_beta 90.00
_cell_angle_gamma 90.00
_symmetry_space_group_name_H-M 'P 1'
_symmetry_Int_Tables_number 1
_symmetry_space_group_name_Hall 'P 1'
loop_
_atom_site_label
_atom_site_fract_x
_atom_site_fract_y
_atom_site_fract_z
K1 0.000 0.000 0.000
Si1 0.000 0.500 0.500
Si2 0.500 0.000 0.500
Mo1 0.500 0.500 0.000
# space group	P4/mmm
# size of the total moment	0.00	μB/cell
# ΔE to the lowest computed polymorph	760	meV/atom
# VASP energy	-4.856	eV/atom
# uncorrected formation energy	0.84	eV/atom
# theoretical density	4.4	g/cm³

***

Entry 9:
# Al2CoTc2, optimized geometry, DFT PBE-GGA
data_Al2CoTc2
_cell_length_a 6.211
_cell_length_b 6.211
_cell_length_c 3.948
_cell_angle_alpha 90.00
_cell_angle_beta 90.00
_cell_angle_gamma 90.00
_symmetry_space_group_name_H-M 'P 1'
_symmetry_Int_Tables_number 1
_symmetry_space_group_name_Hall 'P 1'
loop_
_atom_site_label
_atom_site_fract_x
_atom_site_fract_y
_atom_site_fract_z
Al1 0.169 0.331 0.000
Al2 0.331 0.831 0.000
Al3 0.669 0.169 0.000
Al4 0.831 0.669 0.000
Co1 0.000 0.000 0.500
Co2 0.500 0.500 0.500
Tc1 0.136 0.636 0.500
Tc2 0.364 0.136 0.500
Tc3 0.636 0.864 0.500
Tc4 0.864 0.364 0.500
# space group	P4/mbm
# size of the total moment	0.00	μB/cell
# ΔE to the lowest computed polymorph	187	meV/atom
# VASP energy	-6.917	eV/atom
# calculated formation energy	0.15	eV per atom
# theoretical density	6.7	g/cm³

***

Entry 10:
# Tb2MgCd4, optimized geometry, DFT PBE-GGA
data_Tb2MgCd4
_cell_length_a 8.686
_cell_length_b 8.686
_cell_length_c 8.686
_cell_angle_alpha 145.96
_cell_angle_beta 145.96
_cell_angle_gamma 48.90
_symmetry_space_group_name_H-M 'P 1'
_symmetry_Int_Tables_number 1
_symmetry_space_group_name_Hall 'P 1'
loop_
_atom_site_label
_atom_site_fract_x
_atom_site_fract_y
_atom_site_fract_z
Tb1 0.124 0.124 0.000
Tb2 0.876 0.876 0.000
Mg1 0.500 0.500 0.000
Cd1 0.000 0.500 0.500
Cd2 0.320 0.320 0.000
Cd3 0.500 0.000 0.500
Cd4 0.680 0.680 0.000
# space group	I4/mmm
# size of the total moment	0.00	μB/cell
# ΔE to the lowest computed polymorph	290	meV/atom
# VASP energy	-1.908	eV/atom
# calculated formation energy	0.17	eV per atom
# theoretical density	6.4	g/cm³

***

Which formula does entry 7 have? Hf2Te3H